Material: Li2ZnAu2
Method: DFT, GGA-PBE
State: optimized geometry

Structure (CIF):
```
data_Li2ZnAu2
_symmetry_space_group_name_H-M 'P 4/m b m'
_symmetry_Int_Tables_number 127
_symmetry_space_group_name_Hall '-P 4 2ab'
_cell_length_a 6.933
_cell_length_b 6.933
_cell_length_c 3.518
_cell_angle_alpha 90.00
_cell_angle_beta 90.00
_cell_angle_gamma 90.00
loop_
_atom_site_label
_atom_site_type_symbol
_atom_site_fract_x
_atom_site_fract_y
_atom_site_fract_z
Li1 Li 0.154 0.346 0.000
Zn1 Zn 0.000 0.000 0.500
Au1 Au 0.147 0.647 0.500
```

Output
energy relative to the elements	-0.40	eV per atom
density of states at the Fermi level	2.8	states/eV/cell
magnetization	0.0	μB per cell
offset from the most stable computed form	0.22	eV per formula unit